LaTc2Cl | PBE-GGA | relaxed

Unit cell a=8.6701 b=8.6701 c=8.6701 alpha=147.66 beta=147.66 gamma=46.38
Positions (direct):
La 0.0000 0.0000 0.0000
La 0.7500 0.2500 0.5000
Tc 0.3621 0.6250 0.2371
Tc 0.3750 0.6121 0.7371
Tc 0.3879 0.1250 0.7629
Tc 0.8750 0.6379 0.2629
Cl 0.2500 0.7500 0.5000
Cl 0.5000 0.5000 0.0000

density of states at the Fermi level = 0.802 states/eV per atom
space group = I-42d (122)
spin magnetization = 0.0 μB per formula unit
theoretical density = 6.620 g/cm3
formation energy (no corrections) = 0.374 eV/atom

***

LaTc2Cl | PBE-GGA | relaxed

Unit cell a=3.6254 b=3.8778 c=5.9170 alpha=90.00 beta=90.00 gamma=90.00
Positions (direct):
La 0.0000 0.0000 0.0000
Tc 0.0000 0.5000 0.5000
Tc 0.5000 0.0000 0.5000
Cl 0.5000 0.5000 0.0000

density of states at the Fermi level = 0.905 states/eV per atom
space group = Pmmm (47)
spin magnetization = 0.0 μB per formula unit
theoretical density = 7.393 g/cm3
formation energy (no corrections) = 0.097 eV/atom

***

La4TcCl4 | PBE-GGA | relaxed

Unit cell a=7.1026 b=7.1026 c=11.3692 alpha=123.63 beta=123.63 gamma=36.19
Positions (direct):
La 0.1082 0.1082 0.4379
La 0.3072 0.3072 0.2266
La 0.6928 0.6928 0.7734
La 0.8918 0.8918 0.5621
Tc 0.5000 0.5000 0.5000
Cl 0.1107 0.1107 0.8767
Cl 0.3300 0.3300 0.7552
Cl 0.6700 0.6700 0.2448
Cl 0.8893 0.8893 0.1233

density of states at the Fermi level = 0.727 states/eV per atom
space group = C2/m (12)
spin magnetization = 0.0 μB per formula unit
theoretical density = 4.799 g/cm3
formation energy (no corrections) = -1.452 eV/atom

***

LaTcCl | PBE-GGA | relaxed

Unit cell a=7.1901 b=7.1901 c=7.1901 alpha=153.31 beta=153.31 gamma=38.10
Positions (direct):
La 0.0000 0.0000 0.0000
Tc 0.3473 0.3473 0.0000
Cl 0.6451 0.6451 0.0000

density of states at the Fermi level = 0.419 states/eV per atom
space group = I4mm (107)
spin magnetization = 2.1 μB per formula unit
theoretical density = 6.041 g/cm3
formation energy (no corrections) = 0.000 eV/atom

***

LaTc2Cl | PBE-GGA | relaxed

Unit cell a=3.1437 b=3.1437 c=8.5091 alpha=90.00 beta=90.00 gamma=118.85
Positions (direct):
La 0.0000 0.0000 0.0000
Tc 0.5000 0.5000 0.2518
Tc 0.5000 0.5000 0.7482
Cl 0.0000 0.0000 0.5000

density of states at the Fermi level = 0.869 states/eV per atom
space group = Cmmm (65)
spin magnetization = 0.0 μB per formula unit
theoretical density = 8.349 g/cm3
formation energy (no corrections) = 0.678 eV/atom

***

LaTc2Cl | PBE-GGA | relaxed

Unit cell a=5.6809 b=5.6809 c=3.0179 alpha=90.00 beta=90.00 gamma=125.11
Positions (direct):
La 0.0000 0.0000 0.0000
Tc 0.0000 0.5000 0.5000
Tc 0.5000 0.0000 0.5000
Cl 0.5000 0.5000 0.0000

density of states at the Fermi level = 1.281 states/eV per atom
space group = Cmmm (65)
spin magnetization = 0.0 μB per formula unit
theoretical density = 7.719 g/cm3
formation energy (no corrections) = 0.590 eV/atom

***

LaTcCl | PBE-GGA | relaxed

Unit cell a=11.7085 b=11.7085 c=11.7085 alpha=20.48 beta=20.48 gamma=20.48
Positions (direct):
La 0.0662 0.0662 0.0662
La 0.9338 0.9338 0.9338
Tc 0.3398 0.3398 0.3398
Tc 0.6602 0.6602 0.6602
Cl 0.2167 0.2167 0.2167
Cl 0.7833 0.7833 0.7833

density of states at the Fermi level = 0.522 states/eV per atom
space group = R-3m (166)
spin magnetization = 0.0 μB per formula unit
theoretical density = 5.260 g/cm3
formation energy (no corrections) = -1.097 eV/atom

***

La5TcCl5 | PBE-GGA | relaxed

Unit cell a=7.1269 b=7.1269 c=8.6731 alpha=107.90 beta=107.90 gamma=49.26
Positions (direct):
La 0.0000 0.0000 0.0000
La 0.3290 0.3290 0.1421
La 0.3497 0.3497 0.7001
La 0.6503 0.6503 0.2999
La 0.6710 0.6710 0.8579
Tc 0.5000 0.5000 0.0000
Cl 0.1508 0.1508 0.7961
Cl 0.1651 0.1651 0.3545
Cl 0.5000 0.5000 0.5000
Cl 0.8349 0.8349 0.6455
Cl 0.8492 0.8492 0.2039

density of states at the Fermi level = 0.922 states/eV per atom
space group = C2/m (12)
spin magnetization = 0.0 μB per formula unit
theoretical density = 5.127 g/cm3
formation energy (no corrections) = -1.452 eV/atom

***

LaTc2Cl | PBE-GGA | relaxed

Unit cell a=4.6103 b=4.6103 c=4.6103 alpha=111.81 beta=111.81 gamma=104.89
Positions (direct):
La 0.0000 0.0000 0.0000
Tc 0.2500 0.7500 0.5000
Tc 0.5000 0.5000 0.0000
Cl 0.7500 0.2500 0.5000

density of states at the Fermi level = 0.976 states/eV per atom
space group = I-4m2 (119)
spin magnetization = 0.0 μB per formula unit
theoretical density = 8.192 g/cm3
formation energy (no corrections) = 0.415 eV/atom

***

LaTc2Cl | PBE-GGA | relaxed

Unit cell a=4.7501 b=4.7501 c=4.7501 alpha=60.00 beta=60.00 gamma=60.00
Positions (direct):
La 0.0000 0.0000 0.0000
Tc 0.2500 0.2500 0.2500
Tc 0.5000 0.5000 0.5000
Cl 0.7500 0.7500 0.7500

density of states at the Fermi level = 1.054 states/eV per atom
space group = F-43m (216)
spin magnetization = 0.0 μB per formula unit
theoretical density = 8.115 g/cm3
formation energy (no corrections) = 0.429 eV/atom

***

LaTc2Cl | PBE-GGA | relaxed

Unit cell a=3.0628 b=3.0628 c=7.8442 alpha=90.00 beta=90.00 gamma=90.00
Positions (direct):
La 0.0000 0.0000 0.0000
Tc 0.5000 0.5000 0.3110
Tc 0.5000 0.5000 0.6890
Cl 0.0000 0.0000 0.5000

density of states at the Fermi level = 1.841 states/eV per atom
space group = P4/mmm (123)
spin magnetization = 0.0 μB per formula unit
theoretical density = 8.358 g/cm3
formation energy (no corrections) = 0.864 eV/atom

***

LaTcCl | PBE-GGA | relaxed

Unit cell a=4.9789 b=4.9789 c=4.9789 alpha=60.00 beta=60.00 gamma=60.00
Positions (direct):
La 0.0000 0.0000 0.0000
Tc 0.2500 0.2500 0.2500
Cl 0.7500 0.7500 0.7500

density of states at the Fermi level = 2.352 states/eV per atom
space group = F-43m (216)
spin magnetization = 3.0 μB per formula unit
theoretical density = 5.182 g/cm3
formation energy (no corrections) = 0.497 eV/atom

***

> Which of these has the highest spin magnetization?

number 12